(1)
PBEsol Ca2YRh, relaxed; E_form = 0.00 eV per formula unit; magnetic moment = 0.00 μB per cell; DOS at the Fermi energy = 3.2 states/eV/cell; energy above the lowest structure with this stoichiometry = 29.2 kJ/mol of atoms; density = 4.7 g/cm3
1.0
-2.7469 3.1719 0.7106
-1.4029 -1.9961 3.4869
5.7694 1.9528 0.8422
Rh Ca Y
1 2 1
Cartesian
-2.0749 0.5879 2.0987
0.4738 2.8563 1.8257
1.1458 0.2723 3.2139
0.0000 0.0000 0.0000


(2)
PBEsol ScIrCl2, relaxed; magnetic moment = 0.00 μB per cell; uncorrected formation energy = -15.48 kcal/mol of atoms; DOS at the Fermi energy = 3.5 states/eV/cell; energy above the lowest structure with this stoichiometry = 0.0 kJ/mol of atoms; density = 6.8 g/cm3
1.0
-1.6531 2.5304 0.2482
-0.4065 -0.5553 2.9535
6.7514 4.2413 1.7267
Ir Sc Cl
1 1 2
Cartesian
3.5132 2.2070 0.8985
3.9303 4.1035 2.8694
6.3099 3.9639 1.6138
1.0654 2.3037 2.1367


(3)
PBEsol BeSbPO2, relaxed; magnetic moment = 0.00 μB per cell; uncorrected formation energy = -2.24 kcal/mol of atoms; DOS at the Fermi energy = 1.1 states/eV/cell; energy above the lowest structure with this stoichiometry = 22.3 kJ/mol of atoms; density = 4.2 g/cm3
1.0
-3.0174 2.0527 -1.1088
0.9678 -0.5481 -3.6484
-2.9459 -4.3956 -0.1211
O P Sb Be
2 1 1 1
Cartesian
0.4839 -0.2740 -1.8242
-1.5087 1.0264 -0.5544
-1.4729 -2.1978 -0.0605
0.0000 0.0000 0.0000
-2.4977 -1.4455 -2.4391


(4)
PBEsol SbPS2I, relaxed; magnetic moment = 0.00 μB per cell; uncorrected formation energy = 23.85 kcal/mol of atoms; DOS at the Fermi energy = 3.5 states/eV/cell; density = 4.6 g/cm3
1.0
4.9086 0.0000 0.0000
0.0000 4.9086 0.0000
0.0000 0.0000 5.2024
I S Sb P
1 2 1 1
Cartesian
0.0000 0.0000 0.0000
0.0000 2.4543 0.0000
2.4543 0.0000 0.0000
2.4543 2.4543 2.6012
0.0000 0.0000 2.6012


(5)
PBEsol KAsS2Cl, relaxed; magnetic moment = 1.01 μB per cell; uncorrected formation energy = 24.85 kcal/mol of atoms; DOS at the Fermi energy = 5.3 states/eV/cell; energy above the lowest structure with this stoichiometry = 152.8 kJ/mol of atoms; density = 2.2 g/cm3
1.0
-0.7572 5.2393 0.2368
-4.8818 -0.5900 -2.5567
-2.5015 -0.5835 4.9110
As Cl S K
1 1 2 1
Cartesian
-4.0702 2.0329 1.2956
-0.3786 2.6197 0.1184
-1.2508 -0.2917 2.4555
-2.4409 -0.2950 -1.2784
0.0000 0.0000 0.0000


(6)
PBEsol LiZrW4, relaxed; E_form = 2.57 eV per formula unit; magnetic moment = 0.00 μB per cell; DOS at the Fermi energy = 7.9 states/eV/cell; density = 13.1 g/cm3
1.0
5.3115 0.0000 0.0000
2.6558 4.5999 0.0000
2.6558 1.5333 4.3368
Li W Zr
1 4 1
Cartesian
0.0000 0.0000 0.0000
6.6457 2.2963 1.6237
3.9773 2.2963 1.6237
5.3115 3.0666 3.8025
5.3115 4.6072 1.6237
7.9673 4.5999 3.2526


(7)
PBEsol CsTe3F, relaxed; magnetic moment = 0.00 μB per cell; uncorrected formation energy = -9.84 kcal/mol of atoms; DOS at the Fermi energy = 2.1 states/eV/cell; density = 6.4 g/cm3
1.0
5.1886 0.0000 0.0000
0.0000 5.1886 0.0000
0.0000 0.0000 5.1886
Te Cs F
3 1 1
Cartesian
2.5943 0.0000 0.0000
0.0000 0.0000 2.5943
0.0000 2.5943 0.0000
2.5943 2.5943 2.5943
0.0000 0.0000 0.0000


(8)
PBEsol Sc2InOs, relaxed; E_form = -0.86 eV per formula unit; magnetic moment = 0.00 μB per cell; DOS at the Fermi energy = 3.0 states/eV/cell; density = 8.4 g/cm3
1.0
-0.9374 2.7112 -1.3506
-3.0309 0.9083 0.2051
0.5176 5.6307 7.2220
Sc In Os
2 1 1
Cartesian
-0.9231 2.1673 1.2696
-2.5275 7.0828 4.8069
-1.7253 4.6251 3.0383
0.0000 0.0000 0.0000


(9)
PBEsol In5Pb3, relaxed; E_form = 0.58 eV per formula unit; magnetic moment = 0.00 μB per cell; DOS at the Fermi energy = 9.2 states/eV/cell; density = 8.9 g/cm3
1.0
-2.2223 -1.6629 -5.2006
4.9822 -7.9115 0.4008
-8.6336 0.2800 3.5996
Pb In
6 10
Cartesian
1.3202 -5.9902 -3.6602
-3.1290 -4.3035 -2.2984
1.4398 -3.5842 -1.1396
-6.8427 -1.0793 -1.7425
-2.7446 -4.9909 1.0981
-4.0132 -0.3036 0.1414
-7.4170 -0.1932 1.5606
-1.3051 -1.9822 -0.4790
-4.0950 -2.4505 2.5334
3.4040 -6.7033 -0.9816
-0.6675 -6.0125 -1.1333
-3.4389 -1.1897 -3.1616
-5.2061 -3.2819 -0.0670
0.4436 -5.1810 1.4671
-0.6440 -2.8711 -3.8182
-4.5686 -7.3122 -0.7212


(10)
PBEsol NbCrGa3, relaxed; E_form = 4.64 eV per formula unit; magnetic moment = 3.83 μB per cell; DOS at the Fermi energy = 2.5 states/eV/cell; density = 5.0 g/cm3
1.0
-1.9616 0.1693 4.4889
4.4688 -0.4238 1.9688
0.4561 4.8804 0.0153
Ga Nb Cr
3 1 1
Cartesian
2.2344 -0.2119 0.9844
-0.9808 0.0846 2.2444
0.2280 2.4402 0.0076
0.0000 0.0000 0.0000
1.4817 2.3129 3.2365


(11)
PBEsol YRu2Cl, relaxed; magnetic moment = 0.00 μB per cell; uncorrected formation energy = 1.30 kcal/mol of atoms; DOS at the Fermi energy = 4.5 states/eV/cell; density = 7.8 g/cm3
1.0
-2.5317 1.6991 -0.5503
-1.9679 -3.4982 -1.5229
-1.7686 -1.0866 4.7817
Cl Y Ru
1 1 2
Cartesian
-3.1341 -1.4429 1.3543
-0.8843 -0.5433 2.3909
-3.1882 -1.4815 -1.5159
-1.3114 -0.3176 -0.5572


(12)
PBEsol ScTaFe2, relaxed; E_form = 0.42 eV per formula unit; magnetic moment = 1.22 μB per cell; DOS at the Fermi energy = 3.6 states/eV/cell; energy above the lowest structure with this stoichiometry = 33.5 kJ/mol of atoms; density = 9.8 g/cm3
1.0
-0.7877 -3.4450 -0.3772
3.2593 -0.8679 1.1199
-2.7320 2.0323 3.8868
Sc Ta Fe
1 1 2
Cartesian
1.2358 -2.1564 0.3714
0.8816 -0.4960 2.6890
0.0000 0.0000 0.0000
-1.1420 -1.7845 1.9405


(13)
PBEsol Mn4ReBr, relaxed; magnetic moment = 5.34 μB per cell; uncorrected formation energy = 19.21 kcal/mol of atoms; DOS at the Fermi energy = 9.7 states/eV/cell; density = 10.6 g/cm3
1.0
4.7562 0.0000 0.0000
2.3781 4.1190 0.0000
2.3781 1.3730 3.8834
Mn Br Re
4 1 1
Cartesian
3.5743 2.0636 1.4592
5.9382 2.0636 1.4592
4.7562 4.1108 1.4592
4.7562 2.7460 3.3893
0.0000 0.0000 0.0000
7.1344 4.1190 2.9126


(14)
PBEsol LiReAg2, relaxed; E_form = 1.39 eV per formula unit; magnetic moment = 0.63 μB per cell; DOS at the Fermi energy = 1.7 states/eV/cell; energy above the lowest structure with this stoichiometry = 4.4 kJ/mol of atoms; density = 11.1 g/cm3
1.0
2.6223 0.0000 0.0000
0.0000 4.9405 0.0274
0.0000 -1.4372 4.7269
Ag Li Re
2 1 1
Cartesian
0.0000 2.4703 0.0137
0.0000 -0.7186 2.3635
1.3111 0.0000 0.0000
1.3111 1.7517 2.3772


(15)
PBEsol TiGa2Ag, relaxed; E_form = -0.47 eV per formula unit; magnetic moment = 0.50 μB per cell; DOS at the Fermi energy = 3.4 states/eV/cell; density = 7.8 g/cm3
1.0
-1.0473 -1.1928 4.1749
1.9181 -3.5866 1.8457
2.9863 0.5053 3.2827
Ga Ti Ag
2 1 1
Cartesian
0.9643 -1.0685 2.3258
2.8929 -3.2056 6.9774
0.0000 0.0000 0.0000
1.9286 -2.1371 4.6516


(16)
PBEsol CaSbW2Au, relaxed; magnetic moment = 0.00 μB per cell; uncorrected formation energy = 36.65 kcal/mol of atoms; DOS at the Fermi energy = 6.1 states/eV/cell; density = 9.8 g/cm3
1.0
-3.9403 0.2570 -2.8428
-1.6666 -4.1412 1.9356
-2.4834 2.7234 3.6884
Sb Ca W Au
1 1 2 1
Cartesian
-4.0451 -0.5804 1.3906
-1.2417 1.3617 1.8442
-1.9702 0.1285 -1.4214
-0.8333 -2.0706 0.9678
0.0000 0.0000 0.0000


(17)
PBEsol PPbCl2, relaxed; magnetic moment = 0.00 μB per cell; uncorrected formation energy = -2.28 kcal/mol of atoms; DOS at the Fermi energy = 1.5 states/eV/cell; energy above the lowest structure with this stoichiometry = 2.7 kJ/mol of atoms; density = 6.0 g/cm3
1.0
3.3016 0.0000 0.0000
1.6508 5.3759 0.0189
1.6508 2.4137 4.8037
Cl Pb P
2 1 1
Cartesian
3.3016 1.7232 1.0668
3.3016 6.0665 3.7557
1.6508 3.8948 2.4113
1.6508 0.0000 0.0000


(18)
PBEsol Sr2Cu2O5, relaxed; magnetic moment = 0.00 μB per cell; uncorrected formation energy = -36.80 kcal/mol of atoms; DOS at the Fermi energy = 10.2 states/eV/cell; energy above the lowest structure with this stoichiometry = 0.0 kJ/mol of atoms; density = 5.8 g/cm3
1.0
3.6908 0.0000 0.0000
0.0000 5.4464 0.0000
0.0000 0.0000 10.8556
Sr O Cu
4 10 4
Cartesian
1.8454 1.5578 3.9644
1.8454 3.8887 6.8912
1.8454 1.1655 9.3922
1.8454 4.2810 1.4634
1.8454 4.3524 4.3716
0.0000 0.0911 2.8924
1.8454 3.8173 9.7994
0.0000 2.7232 5.4278
0.0000 5.3553 7.9632
0.0000 2.6321 8.3202
1.8454 1.6292 1.0562
1.8454 1.0941 6.4840
0.0000 0.0000 0.0000
0.0000 2.8143 2.5354
0.0000 4.1262 4.0945
0.0000 4.0435 9.5223
0.0000 1.3203 6.7611
0.0000 1.4029 1.3333


(19)
PBEsol BaAgSe, relaxed; magnetic moment = 0.00 μB per cell; uncorrected formation energy = -15.64 kcal/mol of atoms; DOS at the Fermi energy = 1.5 states/eV/cell; energy above the lowest structure with this stoichiometry = 17.9 kJ/mol of atoms; density = 6.1 g/cm3
1.0
4.3605 0.0000 0.0000
0.0000 4.3605 0.0000
-2.1802 -2.1802 4.6718
Ag Ba Se
1 1 1
Cartesian
2.1802 2.1802 4.5080
0.0000 0.0000 2.9914
2.1802 2.1802 1.8443


(20)
PBEsol Zr2InIrC, relaxed; E_form = 8.85 eV per formula unit; magnetic moment = 0.00 μB per cell; DOS at the Fermi energy = 4.8 states/eV/cell; density = 8.1 g/cm3
1.0
-1.6075 -2.2747 -2.5272
4.3367 -2.9235 -0.1272
-1.8875 -2.9684 3.8725
In Zr C Ir
1 2 1 1
Cartesian
0.0000 0.0000 0.0000
-0.9437 -1.4842 1.9362
2.1684 -1.4617 -0.0636
-0.8038 -1.1373 -1.2636
0.4209 -4.0833 0.6091


(21)
PBEsol CaMg30ZnO32, relaxed; magnetic moment = 0.00 μB per cell; uncorrected formation energy = -62.19 kcal/mol of atoms; DOS at the Fermi energy = 0.0 states/eV/cell; density = 3.7 g/cm3
1.0
-6.3088 -2.4613 5.0906
5.3744 -0.1852 6.5709
-1.7978 8.1226 1.6993
O Mg Ca Zn
32 30 1 1
Cartesian
-3.8386 0.1356 5.8824
-4.7387 4.2027 6.7332
-3.6148 0.8493 2.9804
-0.4708 2.1272 0.4450
0.2088 3.3524 5.4097
-4.4918 4.8119 3.8094
1.4075 -0.0485 1.7208
-0.0271 2.6919 8.3175
3.1209 3.9228 5.7644
0.4557 4.0146 2.5058
2.0066 1.2733 6.6276
-0.6845 1.3661 3.3374
3.9669 -0.1367 4.8501
-2.9409 2.1236 7.9512
-2.0349 -1.9349 7.0957
1.1005 -0.7116 4.5658
-5.6210 2.2190 4.6599
-1.5847 5.4332 4.1882
-1.3269 5.9954 1.2543
1.1064 5.3405 7.4785
2.2341 1.9547 3.7138
-1.7782 -1.2781 4.2279
-4.6595 -1.8179 3.7598
0.8437 -1.3684 7.4336
-1.6492 -0.6434 1.3308
-0.9182 0.7144 6.2571
-2.0477 4.1100 10.0235
-1.8140 4.7617 7.1038
-2.7050 2.7842 5.0433
1.3425 5.9827 4.5565
-1.1475 0.0428 9.1726
-2.4856 3.4422 2.1300
-0.4672 -1.3232 5.8308
-3.3502 -1.8850 5.4659
-2.2602 0.7539 4.6130
-5.1667 0.2191 4.2320
-4.0533 2.8306 3.3949
2.4158 -0.7615 6.1957
-2.4917 0.0955 7.5265
-1.3661 2.7380 6.6804
1.7883 3.9687 4.1351
-3.1590 4.8148 5.4626
0.0157 6.0220 2.9311
-0.4720 4.7222 8.7478
2.6723 5.9304 6.1792
-0.8989 4.0613 0.8497
-2.0527 1.4340 1.7193
-4.2826 2.1700 6.3101
0.6573 1.3240 4.9856
-1.1336 3.3985 3.7691
-1.5986 2.0775 9.5917
-3.3895 4.1520 8.3752
2.6872 -0.0926 3.2855
1.5504 3.3061 7.0508
0.4268 0.6613 7.8982
0.9043 2.0069 2.0911
-0.2405 5.3806 5.8343
-0.2362 -0.6701 2.9532
-0.6982 -1.9764 8.7083
-6.0538 4.2272 5.0705
3.5609 1.9154 5.3392
-2.9398 5.4421 2.5579
0.0000 0.0000 0.0000
-3.1544 -1.2307 2.5453


(22)
PBEsol KSbAs2, relaxed; magnetic moment = 0.00 μB per cell; uncorrected formation energy = 4.37 kcal/mol of atoms; DOS at the Fermi energy = 2.6 states/eV/cell; density = 5.5 g/cm3
1.0
4.4201 0.0000 0.0000
0.0000 4.4201 0.0000
-2.2100 -2.2100 4.8207
Sb As K
1 2 1
Cartesian
0.0000 2.2100 2.4103
2.2100 0.0000 2.4103
0.0000 0.0000 0.0000
2.2100 2.2100 0.0000


(23)
PBEsol ZnAg2Au, relaxed; E_form = -0.36 eV per formula unit; magnetic moment = 0.00 μB per cell; DOS at the Fermi energy = 1.0 states/eV/cell; density = 12.4 g/cm3
1.0
2.9016 0.0000 0.0000
0.0000 3.8553 0.0000
0.0000 0.0000 5.7025
Zn Au Ag
1 1 2
Cartesian
1.4508 1.9277 4.2546
0.0000 0.0000 2.9213
1.4508 1.9277 1.4030
0.0000 0.0000 5.6773


(24)
PBEsol Hf2Ga2Ir, relaxed; E_form = -3.59 eV per formula unit; magnetic moment = 0.00 μB per cell; DOS at the Fermi energy = 4.3 states/eV/cell; density = 13.7 g/cm3
1.0
3.9560 0.0000 0.0000
0.0000 6.4958 0.0000
0.0000 0.0000 6.4958
Ga Ir Hf
4 2 4
Cartesian
0.0000 0.8607 2.3872
0.0000 4.1086 0.8607
0.0000 2.3872 5.6351
0.0000 5.6351 4.1086
0.0000 3.2479 3.2479
0.0000 0.0000 0.0000
1.9780 4.3720 5.3717
1.9780 5.3717 2.1238
1.9780 2.1238 1.1241
1.9780 1.1241 4.3720